Entry 1:
Entry from Alexandria via LeMat-Bulk: Tl4AsSe6 after structural relaxation (GGA-PBE).

Geometry as CIF:
```
data_Tl4AsSe6
_cell_length_a 8.6936
_cell_length_b 7.8789
_cell_length_c 13.3849
_cell_angle_alpha 70.14
_cell_angle_beta 71.05
_cell_angle_gamma 56.52
_symmetry_space_group_name_H-M 'P 1'
_symmetry_Int_Tables_number 1
loop_
_symmetry_equiv_pos_as_xyz
'x,y,z'
loop_
_atom_site_label
_atom_site_type_symbol
_atom_site_fract_x
_atom_site_fract_y
_atom_site_fract_z
Se1 Se 0.9432 0.0164 0.5850
Se2 Se 0.9690 0.6694 0.9514
Se3 Se 0.0408 0.5155 0.4460
Se4 Se 0.6796 0.8273 0.2286
Se5 Se 0.9977 0.0155 0.9460
Se6 Se 0.6456 0.6662 0.7582
Se7 Se 0.9300 0.1662 0.2582
Se8 Se 0.2644 0.3273 0.7286
Se9 Se 0.5040 0.6198 0.5062
Se10 Se 0.4554 0.5164 0.0850
Se11 Se 0.3700 0.1198 0.0062
Se12 Se 0.4102 0.1694 0.4514
As1 As 0.6814 0.7959 0.4148
As2 As 0.1079 0.2959 0.9148
Tl1 Tl 0.6927 0.2350 0.4503
Tl2 Tl 0.2987 0.7343 0.2971
Tl3 Tl 0.6699 0.2343 0.7971
Tl4 Tl 0.0963 0.4589 0.1857
Tl5 Tl 0.7572 0.1475 0.1309
Tl6 Tl 0.2591 0.9589 0.6857
Tl7 Tl 0.9644 0.6475 0.6309
Tl8 Tl 0.6220 0.7350 0.9503
```

Output
formation energy (no corrections) = -2.21 eV/f.u.

Entry 2:
Entry from Alexandria via LeMat-Bulk: Tl2AsSe after structural relaxation (GGA-PBE).

Geometry as CIF:
```
data_Tl2AsSe
_cell_length_a 4.2105
_cell_length_b 4.2117
_cell_length_c 5.9925
_cell_angle_alpha 90.00
_cell_angle_beta 90.00
_cell_angle_gamma 90.00
_symmetry_space_group_name_H-M 'P 1'
_symmetry_Int_Tables_number 1
loop_
_symmetry_equiv_pos_as_xyz
'x,y,z'
loop_
_atom_site_label
_atom_site_type_symbol
_atom_site_fract_x
_atom_site_fract_y
_atom_site_fract_z
Tl1 Tl 0.5000 0.5000 0.3751
Tl2 Tl 0.0000 0.0000 0.8748
As1 As 0.0000 0.0000 0.3749
Se1 Se 0.5000 0.5000 0.8751
```

Output
formation energy (no corrections) = -0.15 eV/f.u.
distance to the lowest polymorph of the same formula = 22 meV per atom

Number 1: total magnetic moment 0.00 Bohr magnetons per cell. Number 2: total magnetic moment 0.00 Bohr magnetons per cell.